No. 1
This record from Alexandria describes Tb6Dy2Y3Pu after structural relaxation. The functional is PBE.

Values from the calculation:
Formation enthalpy at 0 K in meV per atom: 45
M_tot in μB per formula unit: 6.53
N(E_F) in states/eV/f.u.: 25.0

abc: 6.149 6.149 11.725
angles: 95.04 95.04 120.00
Fractional coordinates of all 12 atoms:
Tb (0.588, 0.917, 0.753)
Dy (0.333, 0.667, 0.000)
Tb (0.412, 0.083, 0.247)
Tb (0.083, 0.412, 0.247)
Y (0.500, 0.500, 0.500)
Pu (0.000, 0.000, 0.000)
Y (0.833, 0.167, 0.500)
Tb (0.247, 0.247, 0.753)
Dy (0.667, 0.333, 0.000)
Tb (0.917, 0.588, 0.753)
Tb (0.753, 0.753, 0.247)
Y (0.167, 0.833, 0.500)


No. 2
This record from Alexandria describes TiCrS2 after structural relaxation. The functional is PBE.

Values from the calculation:
ΔE_f (raw) in eV per atom: -0.957
Offset from the most stable computed form in eV/f.u.: 0.00
M_tot in μB per formula unit: 3.09
N(E_F) in states/eV/f.u.: 3.7

abc: 3.403 3.403 5.938
angles: 90.00 90.00 120.00
Fractional coordinates of all 4 atoms:
S (0.667, 0.333, 0.743)
S (0.333, 0.667, 0.257)
Ti (0.000, 0.000, 0.000)
Cr (0.000, 0.000, 0.500)


No. 3
This record from Alexandria describes NaZnIn2 after structural relaxation. The functional is PBE.

Values from the calculation:
Formation enthalpy at 0 K in meV per atom: -37
M_tot in μB per formula unit: 0.00
N(E_F) in states/eV/f.u.: 1.6

abc: 3.528 3.528 7.815
angles: 90.00 90.00 90.00
Fractional coordinates of all 4 atoms:
Na (0.500, 0.500, 0.500)
In (0.000, 0.000, 0.210)
In (0.000, 0.000, 0.790)
Zn (0.500, 0.500, 0.000)


No. 4
This record from Alexandria describes SrBe3As3 after structural relaxation. The functional is PBE.

Values from the calculation:
Offset from the most stable computed form in eV/f.u.: 0.37
Formation enthalpy at 0 K in meV per atom: -351
M_tot in μB per formula unit: 0.00
N(E_F) in states/eV/f.u.: 2.5

abc: 3.957 9.087 9.086
angles: 120.00 90.00 90.00
Fractional coordinates of all 14 atoms:
Sr (0.750, 0.333, 0.667)
Be (0.750, 0.400, 0.056)
As (0.750, 0.919, 0.610)
As (0.750, 0.691, 0.081)
Be (0.750, 0.656, 0.600)
As (0.750, 0.391, 0.309)
Sr (0.250, 0.667, 0.333)
Be (0.250, 0.056, 0.656)
Be (0.750, 0.944, 0.344)
As (0.250, 0.609, 0.691)
As (0.250, 0.309, 0.919)
Be (0.250, 0.344, 0.400)
Be (0.250, 0.600, 0.944)
As (0.250, 0.081, 0.390)


No. 5
This record from Alexandria describes CsLi2NdI6 after structural relaxation. The functional is PBE.

Values from the calculation:
ΔE_f (raw) in eV per atom: -1.320
M_tot in μB per formula unit: 0.00
N(E_F) in states/eV/f.u.: 0.0

abc: 8.054 8.053 8.733
angles: 62.55 62.41 59.87
Fractional coordinates of all 10 atoms:
Li (0.516, 0.516, 0.455)
Li (0.002, 0.006, 0.988)
I (0.302, 0.748, 0.742)
I (0.604, 0.263, 0.225)
Nd (0.323, 0.323, 0.031)
I (0.906, 0.604, 0.226)
Cs (0.787, 0.787, 0.639)
I (0.264, 0.907, 0.225)
I (0.750, 0.207, 0.741)
I (0.207, 0.302, 0.743)


No. 6
This record from Alexandria describes Ba2PtCl after structural relaxation. The functional is PBE.

Values from the calculation:
ΔE_f (raw) in eV per atom: -1.347
Offset from the most stable computed form in eV/f.u.: 0.10
M_tot in μB per formula unit: 0.00
N(E_F) in states/eV/f.u.: 2.7

abc: 4.489 4.489 8.647
angles: 74.96 74.96 60.00
Fractional coordinates of all 4 atoms:
Pt (0.667, 0.667, 0.998)
Ba (0.261, 0.261, 0.217)
Cl (0.498, 0.498, 0.505)
Ba (0.073, 0.073, 0.780)